A relaxed LiZn2NiO4 crystal. Source: the Alexandria database, functional PBE+U.

## Properties
Space-group type: P2/m
Calculated total energy (eV per cell): -36.89

a = 5.1599 Å, b = 2.9959 Å, c = 5.1838 Å
α = 90.00°, β = 109.22°, γ = 90.00°
Fractional coordinates of all 8 atoms:
Li1 0.0000 0.0000 0.0000
Zn1 0.5000 0.0000 0.5000
Zn2 0.5000 0.5000 0.0000
Ni1 0.0000 0.5000 0.5000
O1 0.2429 0.0000 0.7474
O2 0.2551 0.5000 0.2617
O3 0.7449 0.5000 0.7383
O4 0.7571 0.0000 0.2526